[1]
Compound: Sm6Ga3Pt
Source: Alexandria via LeMat-Bulk
Functional: GGA-PBE
Structure: optimized geometry

Crystal system = orthorhombic
DFT formation energy = -513 kJ/mol of formula units

```
data_Sm6Ga3Pt
_chemical_formula_sum 'Sm12 Ga6 Pt2'
_space_group_name_H-M_alt 'P n n m'
_space_group_IT_number 58
_space_group_name_Hall '-P 2 2n'
_cell_length_a 8.843
_cell_length_b 11.842
_cell_length_c 5.119
_cell_angle_alpha 90.00
_cell_angle_beta 90.00
_cell_angle_gamma 90.00
loop_
_atom_site_label
_atom_site_type_symbol
_atom_site_fract_x
_atom_site_fract_y
_atom_site_fract_z
Sm1 Sm 0.004 0.248 0.000
Sm2 Sm 0.163 0.087 0.500
Sm3 Sm 0.175 0.417 0.500
Ga1 Ga 0.000 0.500 0.000
Ga2 Ga 0.161 0.727 0.500
Pt1 Pt 0.000 0.000 0.000
```

***

[2]
Compound: La3CdIr
Source: Alexandria via LeMat-Bulk
Functional: GGA-PBE
Structure: optimized geometry

Energy above the lowest structure with this stoichiometry = 0.108 eV/atom
Crystal system = trigonal
DFT formation energy = -184 kJ/mol of formula units

```
data_La3CdIr
_chemical_formula_sum 'La18 Cd6 Ir6'
_space_group_name_H-M_alt 'R -3'
_space_group_IT_number 148
_space_group_name_Hall '-R 3'
_cell_length_a 7.6601
_cell_length_b 7.6601
_cell_length_c 20.2911
_cell_angle_alpha 90.00
_cell_angle_beta 90.00
_cell_angle_gamma 120.00
loop_
_atom_site_label
_atom_site_type_symbol
_atom_site_fract_x
_atom_site_fract_y
_atom_site_fract_z
La1 La 0.0013 0.4238 0.4140
Cd1 Cd 0.0000 0.0000 0.3832
Ir1 Ir 0.0000 0.0000 0.1684
```

***

[3]
Compound: SmZn2P2Pt7
Source: Alexandria via LeMat-Bulk
Functional: GGA-PBE
Structure: optimized geometry

Crystal system = monoclinic
DFT formation energy = -652 kJ/mol of formula units

```
data_SmZn2P2Pt7
_chemical_formula_sum 'Sm2 Zn4 P4 Pt14'
_space_group_name_H-M_alt 'C 1 2/m 1'
_space_group_IT_number 12
_space_group_name_Hall '-C 2y'
_cell_length_a 5.583
_cell_length_b 5.580
_cell_length_c 14.094
_cell_angle_alpha 90.00
_cell_angle_beta 98.43
_cell_angle_gamma 90.00
loop_
_atom_site_label
_atom_site_type_symbol
_atom_site_fract_x
_atom_site_fract_y
_atom_site_fract_z
Sm1 Sm 0.000 0.000 0.000
Zn1 Zn 0.100 0.000 0.417
P1 P 0.094 0.500 0.259
Pt1 Pt 0.000 0.500 0.000
Pt2 Pt 0.111 0.500 0.420
Pt3 Pt 0.190 0.250 0.836
```

***

[4]
Compound: KBeSe2
Source: Alexandria via LeMat-Bulk
Functional: GGA-PBE
Structure: optimized geometry

Energy relative to the elements, uncorrected = -35.47 kJ/mol of atoms
Crystal system = orthorhombic

```
data_KBeSe2
_chemical_formula_sum 'K2 Be2 Se4'
_space_group_name_H-M_alt 'C m m m'
_space_group_IT_number 65
_space_group_name_Hall '-C 2 2'
_cell_length_a 3.320
_cell_length_b 11.875
_cell_length_c 8.559
_cell_angle_alpha 90.00
_cell_angle_beta 90.00
_cell_angle_gamma 90.00
loop_
_atom_site_label
_atom_site_type_symbol
_atom_site_fract_x
_atom_site_fract_y
_atom_site_fract_z
K1 K 0.000 0.000 0.000
Be1 Be 0.000 0.000 0.500
Se1 Se 0.000 0.500 0.318
```

***

[5]
Compound: BC2
Source: Alexandria via LeMat-Bulk
Functional: GGA-PBE
Structure: optimized geometry

Energy above the lowest structure with this stoichiometry = 0.056 eV/atom
Crystal system = monoclinic
DFT formation energy = 86 kJ/mol of formula units

```
data_BC2
_chemical_formula_sum 'B4 C8'
_space_group_name_H-M_alt 'P 1 m 1'
_space_group_IT_number 6
_space_group_name_Hall 'P -2y'
_cell_length_a 4.695
_cell_length_b 2.562
_cell_length_c 6.351
_cell_angle_alpha 90.00
_cell_angle_beta 97.25
_cell_angle_gamma 90.00
loop_
_atom_site_label
_atom_site_type_symbol
_atom_site_fract_x
_atom_site_fract_y
_atom_site_fract_z
B1 B 0.000 0.000 0.000
B2 B 0.084 0.000 0.735
B3 B 0.381 0.000 0.067
B4 B 0.718 0.000 0.423
C1 C 0.219 0.500 0.407
C2 C 0.250 0.500 0.649
C3 C 0.364 0.000 0.325
C4 C 0.551 0.500 0.989
C5 C 0.562 0.500 0.749
C6 C 0.725 0.000 0.689
C7 C 0.852 0.500 0.094
C8 C 0.894 0.500 0.327
```

***

[6]
Compound: ZrTeMo2
Source: Alexandria via LeMat-Bulk
Functional: GGA-PBE
Structure: optimized geometry

Energy relative to the elements, uncorrected = 5.76 kJ/mol of atoms
Crystal system = tetragonal

```
data_ZrTeMo2
_chemical_formula_sum 'Zr1 Te1 Mo2'
_space_group_name_H-M_alt 'P 4 m m'
_space_group_IT_number 99
_space_group_name_Hall 'P 4 -2'
_cell_length_a 3.269
_cell_length_b 3.269
_cell_length_c 7.311
_cell_angle_alpha 90.00
_cell_angle_beta 90.00
_cell_angle_gamma 90.00
loop_
_atom_site_label
_atom_site_type_symbol
_atom_site_fract_x
_atom_site_fract_y
_atom_site_fract_z
Zr1 Zr 0.000 0.000 0.000
Te1 Te 0.500 0.500 0.689
Mo1 Mo 0.000 0.000 0.440
Mo2 Mo 0.500 0.500 0.248
```

***

Calculated magnetization (μB per formula unit), listed in the same order as above: 0.00 0.00 0.00 0.00 0.00 0.00